{
  "formula": "Sr2W3O10",
  "functional": "PBE with a Hubbard U",
  "state": "relaxed",
  "cell": [[-2.5446, 2.5796, -5.0193], [6.9939, 1.9690, -2.5337], [-1.4458, -9.7023, -0.4358]],
  "species": ["O", "O", "O", "W", "W", "O", "O", "W", "O", "O", "O", "O", "O", "W", "Sr", "O", "O", "O", "O", "Sr", "Sr", "W", "O", "O", "W", "O", "O", "O", "Sr", "O"],
  "fractional_positions": [[0.8708, 0.2468, 0.7416], [0.0000, 0.0000, 0.5000], [0.8636, 0.0317, 0.2168], [0.2560, 0.0000, 0.0000], [0.9167, 0.5180, 0.8335], [0.0878, 0.5244, 0.7123], [0.7914, 0.5000, 0.0000], [0.0833, 0.4820, 0.1665], [0.9753, 0.8066, 0.9507], [0.2357, 0.2929, 0.4714], [0.2086, 0.5000, 0.0000], [0.1292, 0.7532, 0.2584], [0.5174, 0.1835, 0.0348], [0.8138, 0.9638, 0.6276], [0.7048, 0.3313, 0.4096], [0.3532, 0.0317, 0.2168], [0.3755, 0.4756, 0.2877], [0.4826, 0.8165, 0.9652], [0.6245, 0.5244, 0.7123], [0.6061, 0.7159, 0.2122], [0.3939, 0.2841, 0.7878], [0.7440, 0.0000, 0.0000], [0.0247, 0.1934, 0.0493], [0.1364, 0.9683, 0.7832], [0.1862, 0.0362, 0.3724], [0.9122, 0.4756, 0.2877], [0.5000, 0.0000, 0.5000], [0.7643, 0.7071, 0.5286], [0.2952, 0.6687, 0.5904], [0.6468, 0.9683, 0.7832]],
  "final_energy_ev_per_fu": -109.8
}